Entry 1:
## AlHgC2 (GGA-PBE)

Data for an optimized crystal structure of AlHgC2.

Calculated values
* ΔE to the lowest computed polymorph: 3.10 eV/f.u.

Structure (CIF):
```
data_AlHgC2
_chemical_formula_sum 'Al4 Hg4 C8'
_cell_length_a 5.868
_cell_length_b 5.868
_cell_length_c 5.868
_cell_angle_alpha 90.00
_cell_angle_beta 90.00
_cell_angle_gamma 90.00
_space_group_name_H-M_alt 'F m -3 m'
_space_group_IT_number 225
_space_group_name_Hall '-F 4 2 3'
loop_
_atom_site_label
_atom_site_type_symbol
_atom_site_fract_x
_atom_site_fract_y
_atom_site_fract_z
Al1 Al 0.000 0.000 0.000
Hg1 Hg 0.000 0.000 0.500
C1 C 0.250 0.250 0.250
```

---

Entry 2:
## AlHgC (GGA-PBE)

Data for an optimized crystal structure of AlHgC.

Calculated values
* ΔE to the lowest computed polymorph: 0.18 eV/f.u.

Structure (CIF):
```
data_AlHgC
_chemical_formula_sum 'Al2 Hg2 C2'
_cell_length_a 3.196
_cell_length_b 5.858
_cell_length_c 6.364
_cell_angle_alpha 89.77
_cell_angle_beta 88.12
_cell_angle_gamma 89.16
_space_group_name_H-M_alt 'P -1'
_space_group_IT_number 2
_space_group_name_Hall '-P 1'
loop_
_atom_site_label
_atom_site_type_symbol
_atom_site_fract_x
_atom_site_fract_y
_atom_site_fract_z
Al1 Al 0.019 0.497 0.204
Hg1 Hg 0.128 0.999 0.245
C1 C 0.491 0.500 0.604
```

---

Entry 3:
## AlHgC2 (GGA-PBE)

Data for an optimized crystal structure of AlHgC2.

Calculated values
* ΔE to the lowest computed polymorph: 0.00 eV/f.u.

Structure (CIF):
```
data_AlHgC2
_chemical_formula_sum 'Al4 Hg4 C8'
_cell_length_a 4.676
_cell_length_b 4.676
_cell_length_c 10.785
_cell_angle_alpha 90.00
_cell_angle_beta 90.00
_cell_angle_gamma 90.00
_space_group_name_H-M_alt 'I -4 2 d'
_space_group_IT_number 122
_space_group_name_Hall 'I -4 2bw'
loop_
_atom_site_label
_atom_site_type_symbol
_atom_site_fract_x
_atom_site_fract_y
_atom_site_fract_z
Al1 Al 0.000 0.000 0.000
Hg1 Hg 0.000 0.000 0.500
C1 C 0.197 0.250 0.125
```

---

Entry 4:
## AlHgC (GGA-PBE)

Data for an optimized crystal structure of AlHgC.

Calculated values
* ΔE to the lowest computed polymorph: 0.08 eV/f.u.

Structure (CIF):
```
data_AlHgC
_chemical_formula_sum 'Al2 Hg2 C2'
_cell_length_a 3.631
_cell_length_b 3.635
_cell_length_c 9.625
_cell_angle_alpha 85.93
_cell_angle_beta 81.94
_cell_angle_gamma 72.60
_space_group_name_H-M_alt 'P -1'
_space_group_IT_number 2
_space_group_name_Hall '-P 1'
loop_
_atom_site_label
_atom_site_type_symbol
_atom_site_fract_x
_atom_site_fract_y
_atom_site_fract_z
Al1 Al 0.219 0.194 0.406
Hg1 Hg 0.381 0.348 0.136
C1 C 0.336 0.665 0.500
```

---

Entry 5:
## AlHgC3 (GGA-PBE)

Data for an optimized crystal structure of AlHgC3.

Calculated values
* ΔE to the lowest computed polymorph: 5.28 eV/f.u.

Structure (CIF):
```
data_AlHgC3
_chemical_formula_sum 'Al1 Hg1 C3'
_cell_length_a 4.307
_cell_length_b 4.307
_cell_length_c 4.307
_cell_angle_alpha 90.00
_cell_angle_beta 90.00
_cell_angle_gamma 90.00
_space_group_name_H-M_alt 'P m -3 m'
_space_group_IT_number 221
_space_group_name_Hall '-P 4 2 3'
loop_
_atom_site_label
_atom_site_type_symbol
_atom_site_fract_x
_atom_site_fract_y
_atom_site_fract_z
Al1 Al 0.000 0.000 0.000
Hg1 Hg 0.500 0.500 0.500
C1 C 0.000 0.500 0.500
```

---

Entry 6:
## AlHgC (GGA-PBE)

Data for an optimized crystal structure of AlHgC.

Calculated values
* ΔE to the lowest computed polymorph: 0.15 eV/f.u.

Structure (CIF):
```
data_AlHgC
_chemical_formula_sum 'Al2 Hg2 C2'
_cell_length_a 3.038
_cell_length_b 4.033
_cell_length_c 9.036
_cell_angle_alpha 90.00
_cell_angle_beta 94.59
_cell_angle_gamma 90.00
_space_group_name_H-M_alt 'P 1 m 1'
_space_group_IT_number 6
_space_group_name_Hall 'P -2y'
loop_
_atom_site_label
_atom_site_type_symbol
_atom_site_fract_x
_atom_site_fract_y
_atom_site_fract_z
Al1 Al 0.000 0.000 0.000
Al2 Al 0.441 0.000 0.750
Hg1 Hg 0.017 0.000 0.301
Hg2 Hg 0.876 0.500 0.558
C1 C 0.483 0.337 0.935
```

---

Entry 7:
## Al3HgC (GGA-PBE)

Data for an optimized crystal structure of Al3HgC.

Calculated values
* ΔE to the lowest computed polymorph: 0.00 eV/f.u.

Structure (CIF):
```
data_Al3HgC
_chemical_formula_sum 'Al3 Hg1 C1'
_cell_length_a 4.189
_cell_length_b 4.189
_cell_length_c 4.189
_cell_angle_alpha 90.00
_cell_angle_beta 90.00
_cell_angle_gamma 90.00
_space_group_name_H-M_alt 'P m -3 m'
_space_group_IT_number 221
_space_group_name_Hall '-P 4 2 3'
loop_
_atom_site_label
_atom_site_type_symbol
_atom_site_fract_x
_atom_site_fract_y
_atom_site_fract_z
Al1 Al 0.000 0.000 0.500
Hg1 Hg 0.500 0.500 0.500
C1 C 0.000 0.000 0.000
```

---

Entry 8:
## AlHgC (GGA-PBE)

Data for an optimized crystal structure of AlHgC.

Calculated values
* ΔE to the lowest computed polymorph: 0.00 eV/f.u.

Structure (CIF):
```
data_AlHgC
_chemical_formula_sum 'Al2 Hg2 C2'
_cell_length_a 3.203
_cell_length_b 4.319
_cell_length_c 9.292
_cell_angle_alpha 95.10
_cell_angle_beta 99.70
_cell_angle_gamma 111.74
_space_group_name_H-M_alt 'P 1'
_space_group_IT_number 1
_space_group_name_Hall 'P 1'
loop_
_atom_site_label
_atom_site_type_symbol
_atom_site_fract_x
_atom_site_fract_y
_atom_site_fract_z
Al1 Al 0.000 0.000 0.000
Al2 Al 0.246 0.714 0.775
Hg1 Hg 0.168 0.048 0.291
Hg2 Hg 0.611 0.709 0.518
C1 C 0.545 0.187 0.899
C2 C 0.702 0.523 0.880
```

---

Entry 9:
## Al2HgIrC (GGA-PBE)

Data for an optimized crystal structure of Al2HgIrC.

Calculated values
* ΔE to the lowest computed polymorph: 0.00 eV/f.u.

Structure (CIF):
```
data_Al2HgIrC
_chemical_formula_sum 'Al2 Hg1 Ir1 C1'
_cell_length_a 4.065
_cell_length_b 4.065
_cell_length_c 4.346
_cell_angle_alpha 90.00
_cell_angle_beta 90.00
_cell_angle_gamma 90.00
_space_group_name_H-M_alt 'P 4/m m m'
_space_group_IT_number 123
_space_group_name_Hall '-P 4 2'
loop_
_atom_site_label
_atom_site_type_symbol
_atom_site_fract_x
_atom_site_fract_y
_atom_site_fract_z
Al1 Al 0.000 0.500 0.000
Hg1 Hg 0.000 0.000 0.500
Ir1 Ir 0.500 0.500 0.500
C1 C 0.500 0.500 0.000
```

---

Entry 10:
## Al2HgIrC (GGA-PBE)

Data for an optimized crystal structure of Al2HgIrC.

Calculated values
* ΔE to the lowest computed polymorph: 4.38 eV/f.u.

Structure (CIF):
```
data_Al2HgIrC
_chemical_formula_sum 'Al2 Hg1 Ir1 C1'
_cell_length_a 4.705
_cell_length_b 4.705
_cell_length_c 5.288
_cell_angle_alpha 90.00
_cell_angle_beta 90.00
_cell_angle_gamma 90.00
_space_group_name_H-M_alt 'P 4/m m m'
_space_group_IT_number 123
_space_group_name_Hall '-P 4 2'
loop_
_atom_site_label
_atom_site_type_symbol
_atom_site_fract_x
_atom_site_fract_y
_atom_site_fract_z
Al1 Al 0.000 0.500 0.000
Hg1 Hg 0.000 0.000 0.500
Ir1 Ir 0.000 0.000 0.000
C1 C 0.500 0.500 0.500
```

---

Entry 11:
## KAlHgC2 (GGA-PBE)

Data for an optimized crystal structure of KAlHgC2.

Structure (CIF):
```
data_KAlHgC2
_chemical_formula_sum 'K1 Al1 Hg1 C2'
_cell_length_a 4.740
_cell_length_b 4.740
_cell_length_c 5.154
_cell_angle_alpha 90.00
_cell_angle_beta 90.00
_cell_angle_gamma 90.00
_space_group_name_H-M_alt 'P 4/m m m'
_space_group_IT_number 123
_space_group_name_Hall '-P 4 2'
loop_
_atom_site_label
_atom_site_type_symbol
_atom_site_fract_x
_atom_site_fract_y
_atom_site_fract_z
K1 K 0.000 0.000 0.000
Al1 Al 0.500 0.500 0.000
Hg1 Hg 0.500 0.500 0.500
C1 C 0.000 0.500 0.500
```

---

Entry 12:
## Mg2AlHgC (GGA-PBE)

Data for an optimized crystal structure of Mg2AlHgC.

Structure (CIF):
```
data_Mg2AlHgC
_chemical_formula_sum 'Mg2 Al1 Hg1 C1'
_cell_length_a 4.575
_cell_length_b 4.575
_cell_length_c 3.943
_cell_angle_alpha 90.00
_cell_angle_beta 90.00
_cell_angle_gamma 90.00
_space_group_name_H-M_alt 'P 4/m m m'
_space_group_IT_number 123
_space_group_name_Hall '-P 4 2'
loop_
_atom_site_label
_atom_site_type_symbol
_atom_site_fract_x
_atom_site_fract_y
_atom_site_fract_z
Mg1 Mg 0.000 0.500 0.000
Al1 Al 0.000 0.000 0.500
Hg1 Hg 0.500 0.500 0.500
C1 C 0.000 0.000 0.000
```

---

Volume (Å³ per atom)
12.63 19.85 14.74 20.00 15.97 18.40 14.71 19.35 14.36 23.41 23.16 16.51
Total DFT energy (no corrections) (eV for the cell shown)
-54.81 -24.23 -67.21 -24.42 -14.70 -24.29 -18.95 -24.59 -24.03 -19.66 -12.15 -16.08
Formation energy from the elements (eV/atom)
2.1977 0.3845 1.4225 0.3527 3.4031 0.3745 0.3606 0.3250 0.3674 1.2433 2.2881 0.0753